Record 1
14
Lattice="3.4593 1.9972 5.6440 -3.4593 1.9972 5.6440 0.0000 -3.9945 5.6440" Properties=species:S:1:pos:R:3 comment="NiIr2S4 | Alexandria via LeMat-Bulk | PBE | relaxed" sg="No. 166" dft_energy_ev_per_atom=-6.075 pbc="T T T"
Ni 0.0000 0.0000 2.1156
Ni 0.0000 0.0000 14.8165
Ir -1.7297 -0.9986 5.6440
Ir -1.7297 0.9986 11.2881
Ir 0.0000 1.9972 5.6440
Ir 0.0000 0.0000 8.4661
S 0.0000 0.0000 4.3416
S 0.0000 -1.8955 7.0192
S -1.6416 0.9478 7.0192
S -1.6416 -0.9478 9.9130
S 1.6416 0.9478 7.0192
S 1.6416 -0.9478 9.9130
S 0.0000 1.8955 9.9130
S 0.0000 0.0000 12.5906

=====

Record 2
6
Lattice="2.9385 0.0000 0.0000 -1.4693 2.5448 0.0000 0.0000 0.0000 11.1542" Properties=species:S:1:pos:R:3 comment="NiIrS | Alexandria via LeMat-Bulk | PBE | relaxed" sg="No. 187" dft_energy_ev_per_atom=-6.207 pbc="T T T"
Ni 0.0000 0.0000 1.9955
Ni 0.0000 0.0000 9.1587
Ir 0.0000 1.6966 0.0000
Ir 0.0000 1.6966 5.5771
S 0.0000 1.6966 3.3280
S 0.0000 1.6966 7.8262

=====

Record 3
12
Lattice="5.6831 0.0000 0.0000 0.0000 5.6805 0.0000 -0.0251 0.0000 5.6825" Properties=species:S:1:pos:R:3 comment="NiIrS4 | Alexandria via LeMat-Bulk | PBE | relaxed" sg="No. 14" dft_energy_ev_per_atom=-5.464 pbc="T T T"
Ni 0.0000 0.0000 0.0000
Ni -0.0125 2.8403 2.8413
Ir 2.8290 0.0000 2.8413
Ir 2.8416 2.8403 0.0000
S 0.5897 0.6298 2.2278
S 0.5772 2.2105 5.0690
S 2.1771 3.4729 2.2018
S 2.1645 5.0479 5.0431
S 3.4935 0.6326 0.6394
S 3.4810 2.2076 3.4807
S 5.0809 3.4700 0.6135
S 5.0683 5.0507 3.4548

=====

Record 4
5
Lattice="4.6522 0.0000 0.0000 0.0000 4.6522 0.0000 0.0000 0.0000 4.2623" Properties=species:S:1:pos:R:3 comment="NiIr2SeS | Alexandria via LeMat-Bulk | PBE | relaxed" sg="No. 123" dft_energy_ev_per_atom=-4.971 pbc="T T T"
Ni 0.0000 0.0000 0.0000
Ir 0.0000 2.3261 2.1312
Ir 2.3261 0.0000 2.1312
Se 0.0000 0.0000 2.1312
S 2.3261 2.3261 0.0000

=====

Record 5
8
Lattice="6.9712 0.0000 0.0000 0.0000 4.0677 0.0000 -2.3059 0.0000 7.0276" Properties=species:S:1:pos:R:3 comment="Th4NiIrS2 | Alexandria via LeMat-Bulk | PBE | relaxed" sg="No. 10" dft_energy_ev_per_atom=-7.762 pbc="T T T"
Th 1.1688 0.0000 1.6499
Th -0.0088 2.0339 5.3767
Th 4.6741 2.0339 1.6509
Th 3.4965 0.0000 5.3776
Ni 0.0000 2.0339 0.0000
Ir 3.4856 0.0000 0.0000
S -1.1530 0.0000 3.5138
S 2.3326 2.0339 3.5138

=====

Record 6
14
Lattice="-3.3215 3.5823 4.8340 3.3215 -3.5823 4.8340 3.3215 3.5823 -4.8340" Properties=species:S:1:pos:R:3 comment="VNiIrS4 | Alexandria via LeMat-Bulk | PBE | relaxed" sg="No. 74" dft_energy_ev_per_atom=-6.318 pbc="T T T"
V -1.6607 1.7912 2.4170
V 1.6607 1.7912 2.4170
Ni 3.3215 1.7912 -1.2839
Ni 0.0000 1.7912 6.1178
Ir 0.0000 0.0000 0.0000
Ir 0.0000 3.5823 0.0000
S 1.5825 1.7912 0.0163
S 1.7390 -1.7912 4.8502
S 0.0000 0.0645 2.4016
S 3.3215 0.0645 2.4324
S 0.0000 3.5178 2.4016
S 3.3215 3.5178 2.4324
S 1.5825 5.3735 -0.0163
S 1.7390 1.7912 4.8177

=====

Record 7
5
Lattice="4.5536 0.0000 0.0000 0.0000 4.5536 0.0000 0.0000 0.0000 4.1770" Properties=species:S:1:pos:R:3 comment="YNiIr2S | Alexandria via LeMat-Bulk | PBE | relaxed" sg="No. 123" dft_energy_ev_per_atom=-6.973 pbc="T T T"
Y 0.0000 0.0000 0.0000
Ni 2.2768 2.2768 0.0000
Ir 0.0000 2.2768 2.0885
Ir 2.2768 0.0000 2.0885
S 2.2768 2.2768 2.0885

=====

Record 8
5
Lattice="4.5212 0.0000 0.0000 0.0000 4.5212 0.0000 0.0000 0.0000 4.0793" Properties=species:S:1:pos:R:3 comment="ZrNiIr2S | Alexandria via LeMat-Bulk | PBE | relaxed" sg="No. 123" dft_energy_ev_per_atom=-7.143 pbc="T T T"
Zr 0.0000 0.0000 0.0000
Ni 2.2606 2.2606 0.0000
Ir 0.0000 2.2606 2.0397
Ir 2.2606 0.0000 2.0397
S 2.2606 2.2606 2.0397